A plane-wave DFT calculation with GGA-PBEsol was carried out for crystalline Zr2Zn2Pd at its relaxed geometry.

```
Zr2Zn2Pd
1.0
3.868 0.000 0.000
0.000 6.668 0.000
0.000 0.000 6.668
Zr Zn Pd
4 4 2
Direct
0.500 0.328 0.172
0.500 0.172 0.672
0.500 0.672 0.828
0.500 0.828 0.328
0.000 0.130 0.370
0.000 0.630 0.130
0.000 0.370 0.870
0.000 0.870 0.630
0.000 0.000 0.000
0.000 0.500 0.500
```

Properties
As for the space-group type: P4/mbm, No. 127. The formation energy comes out at -0.409 eV per atom.